First-principles (PBE) data for a geometry-optimized DyZn12Ni6 structure, as listed in Alexandria via LeMat-Bulk.

Unit cell a=6.8779 b=6.8779 c=6.8779 alpha=104.99 beta=104.99 gamma=104.99
With the nearest neighbours (Å) after each atom.
Fractional positions:
Dy: 0.0000 0.0000 0.0000  6 Zn 3.05
Zn: 0.8853 0.1147 0.5000  4 Ni 2.42-2.49, 3 Zn 2.50-2.64
Zn: 0.8592 0.6017 0.6017  3 Ni 2.45-2.48, 2 Zn 2.64
Zn: 0.6017 0.6017 0.8592  3 Ni 2.45-2.48, 2 Zn 2.64
Zn: 0.3983 0.1408 0.3983  3 Ni 2.45-2.48, 2 Zn 2.64
Zn: 0.3983 0.3983 0.1408  3 Ni 2.45-2.48, 2 Zn 2.64
Zn: 0.1408 0.3983 0.3983  3 Ni 2.45-2.48, 2 Zn 2.64
Zn: 0.1147 0.5000 0.8853  4 Ni 2.42-2.49, 3 Zn 2.50-2.64
Zn: 0.5000 0.8853 0.1147  4 Ni 2.42-2.49, 3 Zn 2.50-2.64
Zn: 0.1147 0.8853 0.5000  4 Ni 2.42-2.49, 3 Zn 2.50-2.64
Zn: 0.8853 0.5000 0.1147  4 Ni 2.42-2.49, 3 Zn 2.50-2.64
Zn: 0.5000 0.1147 0.8853  4 Ni 2.42-2.49, 3 Zn 2.50-2.64
Zn: 0.6017 0.8592 0.6017  3 Ni 2.45-2.48, 2 Zn 2.64
Ni: 0.7002 0.2786 0.2786  7 Zn 2.42-2.49
Ni: 0.2786 0.2786 0.7002  7 Zn 2.42-2.49
Ni: 0.2786 0.7002 0.2786  7 Zn 2.42-2.49
Ni: 0.7214 0.7214 0.2998  7 Zn 2.42-2.49
Ni: 0.2998 0.7214 0.7214  7 Zn 2.42-2.49
Ni: 0.7214 0.2998 0.7214  7 Zn 2.42-2.49

Volume ... 14.98 Å³ per atom
Space-group type ... R-3m
Uncorrected energy ... -56.3 eV per formula unit
Total magnetization ... 0.000 μB per formula unit
Formation energy from the elements ... -0.09 eV per atom

First-principles (PBE) data for a geometry-optimized Dy2Zn3Ni structure, as listed in Alexandria via LeMat-Bulk.

Unit cell a=3.5685 b=4.3341 c=7.5775 alpha=90.00 beta=90.00 gamma=90.00
With the nearest neighbours (Å) after each atom.
Fractional positions:
Dy: 0.0000 0.5000 0.0271  2 Ni 2.92, 8 Zn 3.00-3.17
Dy: 0.0000 0.0000 0.4796  8 Zn 2.97-3.21, 4 Ni 3.02
Zn: 0.5000 0.0000 0.8315  3 Zn 2.52-2.54
Zn: 0.5000 0.0000 0.1668  2 Ni 2.50, 1 Zn 2.54
Zn: 0.5000 0.5000 0.6625  1 Ni 2.50, 2 Zn 2.52
Ni: 0.5000 0.5000 0.3325  3 Zn 2.50

Volume ... 19.53 Å³ per atom
Space-group type ... Pmm2
Uncorrected energy ... -21.1 eV per formula unit
Total magnetization ... 0.000 μB per formula unit
Formation energy from the elements ... -0.39 eV per atom

First-principles (PBE) data for a geometry-optimized Dy2Zn6Ni3 structure, as listed in Alexandria via LeMat-Bulk.

Unit cell a=3.8803 b=7.4161 c=7.4161 alpha=120.00 beta=90.00 gamma=90.00
With the nearest neighbours (Å) after each atom.
Fractional positions:
Dy: 0.0000 0.6667 0.3333  6 Ni 3.00, 9 Zn 3.09-3.31
Dy: 0.0000 0.3333 0.6667  6 Ni 3.00, 9 Zn 3.09-3.31
Zn: 0.5000 0.7183 0.7183  3 Ni 2.42-2.60, 4 Zn 2.69
Zn: 0.5000 0.0000 0.2817  3 Ni 2.42-2.60, 4 Zn 2.69
Zn: 0.0000 0.2000 0.2000  2 Ni 2.41, 6 Zn 2.57-2.69
Zn: 0.0000 0.8000 0.0000  2 Ni 2.41, 6 Zn 2.57-2.69
Zn: 0.5000 0.2817 0.0000  3 Ni 2.42-2.60, 4 Zn 2.69
Zn: 0.0000 0.0000 0.8000  2 Ni 2.41, 6 Zn 2.57-2.69
Ni: 0.5000 0.3926 0.3926  5 Zn 2.41-2.60
Ni: 0.5000 0.6074 0.0000  5 Zn 2.41-2.60
Ni: 0.5000 0.0000 0.6074  5 Zn 2.41-2.60

Volume ... 16.80 Å³ per atom
Space-group type ... P-62m
Uncorrected energy ... -37.4 eV per formula unit
Total magnetization ... 0.000 μB per formula unit
Formation energy from the elements ... -0.29 eV per atom